Material: Nd2Cu9Ag
Method: DFT, PBE
State: relaxed

Calculated values
The space-group type is R-3m, No. 166. Its formation enthalpy at 0 K is -0.37 eV per formula unit.

POSCAR file:
```
Nd2Cu9Ag
1.0
5.153 0.000 0.000
2.576 4.463 0.000
2.576 1.488 8.310
Nd Cu Ag
2 9 1
Direct
0.866 0.866 0.401 Nd
0.134 0.134 0.599 Nd
0.667 0.667 0.998 Cu
0.333 0.333 0.002 Cu
0.500 0.500 0.500 Cu
0.420 0.420 0.238 Cu
0.921 0.420 0.238 Cu
0.420 0.921 0.238 Cu
0.580 0.580 0.762 Cu
0.580 0.079 0.762 Cu
0.079 0.580 0.762 Cu
0.000 0.000 0.000 Ag
```

***

Material: In2SbPb6
Method: DFT, PBE
State: relaxed

Calculated values
The space-group type is P-6m2, No. 187. For the formation energy without anion corrections, the calculation gives 0.048 eV per atom.

POSCAR file:
```
In2SbPb6
1.0
-0.971 -0.792 -3.209
-1.895 -1.044 2.680
-14.140 22.429 -1.260
In Sb Pb
2 1 6
Direct
0.667 0.333 0.331 In
0.667 0.333 0.669 In
0.333 0.667 0.000 Sb
0.667 0.333 0.890 Pb
0.333 0.667 0.437 Pb
0.333 0.667 0.777 Pb
0.333 0.667 0.223 Pb
0.333 0.667 0.563 Pb
0.667 0.333 0.110 Pb
```

***

Material: TlNiAsCl2
Method: DFT, PBE
State: relaxed

Calculated values
The space-group type is P4/mmm, No. 123. For the formation energy without anion corrections, the calculation gives -0.171 eV per atom.

POSCAR file:
```
TlNiAsCl2
1.0
-2.273 3.406 2.822
-3.909 -0.623 -2.396
-1.383 -3.561 3.183
Ni Tl As Cl
1 1 1 2
Direct
0.000 0.000 0.000 Ni
0.500 0.500 0.500 Tl
0.000 0.500 0.000 As
0.000 0.000 0.500 Cl
0.500 0.000 0.000 Cl
```

***

Material: Rb2ErThSe4
Method: DFT, PBE
State: relaxed

Calculated values
The space-group type is P2/m, No. 10. For the formation energy without anion corrections, the calculation gives -1.613 eV per atom.

POSCAR file:
```
Rb2ErThSe4
1.0
4.235 0.000 0.000
0.000 7.362 0.141
0.000 -2.578 8.024
Rb Er Th Se
2 1 1 4
Direct
0.500 0.000 0.500 Rb
0.000 0.500 0.500 Rb
0.500 0.500 0.000 Er
0.000 0.000 0.000 Th
0.500 0.242 0.204 Se
0.500 0.758 0.796 Se
0.000 0.273 0.803 Se
0.000 0.727 0.197 Se
```

***

Material: Cd3Cu5Br12
Method: DFT, PBE
State: relaxed

Calculated values
The space-group type is Ia-3d, No. 230. For the formation energy without anion corrections, the calculation gives -0.412 eV per atom.

POSCAR file:
```
Cd3Cu5Br12
1.0
13.968 0.000 0.000
-4.656 13.169 0.000
-4.656 -6.584 11.404
Cd Cu Br
12 20 48
Direct
0.750 0.375 0.125 Cd
0.875 0.750 0.125 Cd
0.375 0.750 0.625 Cd
0.250 0.125 0.375 Cd
0.875 0.125 0.250 Cd
0.375 0.625 0.250 Cd
0.625 0.375 0.750 Cd
0.125 0.875 0.750 Cd
0.750 0.875 0.625 Cd
0.625 0.250 0.375 Cd
0.125 0.250 0.875 Cd
0.250 0.625 0.875 Cd
0.125 0.375 0.250 Cu
0.000 0.500 0.000 Cu
0.000 0.000 0.000 Cu
0.375 0.250 0.125 Cu
0.500 0.000 0.500 Cu
0.500 0.500 0.000 Cu
0.125 0.750 0.375 Cu
0.750 0.125 0.875 Cu
0.750 0.625 0.375 Cu
0.375 0.125 0.750 Cu
0.625 0.875 0.250 Cu
0.500 0.500 0.500 Cu
0.500 0.000 0.000 Cu
0.000 0.000 0.500 Cu
0.250 0.375 0.625 Cu
0.250 0.875 0.125 Cu
0.000 0.500 0.500 Cu
0.875 0.250 0.625 Cu
0.625 0.750 0.875 Cu
0.875 0.625 0.750 Cu
0.706 0.130 0.029 Br
0.323 0.529 0.399 Br
0.971 0.370 0.294 Br
0.529 0.206 0.130 Br
0.575 0.706 0.677 Br
0.971 0.601 0.177 Br
0.323 0.794 0.425 Br
0.101 0.925 0.130 Br
0.601 0.971 0.677 Br
0.706 0.575 0.177 Br
0.794 0.471 0.370 Br
0.823 0.899 0.029 Br
0.130 0.706 0.529 Br
0.370 0.399 0.075 Br
0.075 0.899 0.370 Br
0.425 0.130 0.601 Br
0.075 0.177 0.206 Br
0.471 0.677 0.101 Br
0.823 0.925 0.294 Br
0.130 0.425 0.101 Br
0.370 0.971 0.794 Br
0.601 0.630 0.425 Br
0.899 0.823 0.529 Br
0.794 0.323 0.925 Br
0.399 0.370 0.575 Br
0.101 0.177 0.471 Br
0.206 0.677 0.075 Br
0.177 0.075 0.706 Br
0.630 0.029 0.206 Br
0.870 0.575 0.899 Br
0.529 0.323 0.899 Br
0.575 0.870 0.399 Br
0.925 0.823 0.794 Br
0.925 0.101 0.630 Br
0.870 0.294 0.471 Br
0.177 0.101 0.971 Br
0.630 0.601 0.925 Br
0.399 0.029 0.323 Br
0.294 0.425 0.823 Br
0.206 0.529 0.630 Br
0.899 0.075 0.870 Br
0.677 0.206 0.575 Br
0.471 0.794 0.870 Br
0.029 0.399 0.823 Br
0.425 0.294 0.323 Br
0.029 0.630 0.706 Br
0.677 0.471 0.601 Br
0.294 0.870 0.971 Br
```

***

Material: SrFe2Au
Method: DFT, PBE
State: relaxed

Calculated values
The space-group type is Immm, No. 71. Its formation enthalpy at 0 K is 1.99 eV per formula unit.

POSCAR file:
```
SrFe2Au
1.0
-3.291 1.202 -4.604
1.386 -2.285 -5.131
-1.442 -1.017 5.510
Au Fe Sr
1 2 1
Direct
0.250 0.750 0.500 Au
0.027 0.027 0.000 Fe
0.473 0.473 0.000 Fe
0.750 0.250 0.500 Sr
```

***

Material: Pr2SmEu
Method: DFT, PBE
State: relaxed

Calculated values
The space-group type is P4/mmm, No. 123. Its formation enthalpy at 0 K is 0.12 eV per formula unit.

POSCAR file:
```
Pr2SmEu
1.0
3.727 0.000 0.000
0.000 3.727 0.000
0.000 0.000 10.585
Eu Pr Sm
1 2 1
Direct
0.500 0.500 0.500 Eu
0.000 0.000 0.763 Pr
0.000 0.000 0.237 Pr
0.500 0.500 0.000 Sm
```

***

Material: NaSrF2
Method: DFT, PBE
State: relaxed

Calculated values
The space-group type is I-42d, No. 122. For the formation energy without anion corrections, the calculation gives -2.637 eV per atom.

POSCAR file:
```
NaSrF2
1.0
5.731 0.000 0.000
0.000 5.731 0.000
2.866 2.866 5.953
Sr F Na
2 4 2
Direct
0.000 0.000 0.000 Sr
0.750 0.250 0.500 Sr
0.661 0.125 0.250 F
0.089 0.625 0.250 F
0.375 0.339 0.750 F
0.875 0.911 0.750 F
0.500 0.500 0.000 Na
0.250 0.750 0.500 Na
```

***

Material: Th2SeCl2
Method: DFT, PBE
State: relaxed

Calculated values
The space-group type is C2/m, No. 12. For the formation energy without anion corrections, the calculation gives -1.642 eV per atom.

POSCAR file:
```
Th2SeCl2
1.0
-1.790 2.311 2.379
-1.940 -2.597 -1.922
1.763 -7.661 8.771
Th Se Cl
2 1 2
Direct
0.830 0.661 0.328 Th
0.170 0.339 0.672 Th
0.500 0.000 0.500 Se
0.161 0.321 0.163 Cl
0.839 0.679 0.837 Cl
```

***

Material: Tm8TcRh2
Method: DFT, PBE
State: relaxed

Calculated values
The space-group type is Cm, No. 8. Its formation enthalpy at 0 K is -3.78 eV per formula unit.

POSCAR file:
```
Tm8TcRh2
1.0
-4.244 3.719 -0.670
-3.354 -5.056 4.422
4.997 4.318 3.572
Tm Tc Rh
8 1 2
Direct
0.578 0.331 0.080 Tm
0.578 0.080 0.331 Tm
0.174 0.363 0.363 Tm
0.990 0.212 0.782 Tm
0.990 0.782 0.212 Tm
0.811 0.645 0.645 Tm
0.390 0.925 0.674 Tm
0.390 0.674 0.925 Tm
0.101 0.004 0.004 Tc
0.499 0.698 0.318 Rh
0.499 0.318 0.698 Rh
```

***

Material: ZnAsIrBr2
Method: DFT, PBE
State: relaxed

Calculated values
The space-group type is P4/mmm, No. 123. For the formation energy without anion corrections, the calculation gives 0.356 eV per atom.

POSCAR file:
```
ZnAsIrBr2
1.0
-0.422 4.562 -2.730
-5.316 -0.421 0.118
-0.100 2.374 3.982
As Ir Zn Br
1 1 1 2
Direct
0.000 0.000 0.500 As
0.000 0.000 0.000 Ir
0.500 0.500 0.500 Zn
0.000 0.500 0.000 Br
0.500 0.000 0.000 Br
```

***

Material: TlIn6HgPb2
Method: DFT, PBE
State: relaxed

Calculated values
The space-group type is P2_1/c, No. 14. Its formation enthalpy at 0 K is 0.53 eV per formula unit.

POSCAR file:
```
TlIn6HgPb2
1.0
-2.722 4.132 5.523
-3.831 -8.044 4.128
5.928 0.326 6.135
Tl In Hg Pb
2 12 2 4
Direct
0.000 0.500 0.000 Tl
0.500 0.000 0.500 Tl
0.692 0.297 0.795 In
0.830 0.130 0.087 In
0.758 0.284 0.416 In
0.742 0.784 0.084 In
0.670 0.630 0.413 In
0.808 0.797 0.705 In
0.192 0.203 0.295 In
0.330 0.370 0.587 In
0.258 0.216 0.916 In
0.170 0.870 0.913 In
0.242 0.716 0.584 In
0.308 0.703 0.205 In
0.000 0.500 0.500 Hg
0.500 0.000 0.000 Hg
0.971 0.909 0.330 Pb
0.529 0.409 0.170 Pb
0.471 0.591 0.830 Pb
0.029 0.091 0.670 Pb
```

***

Material: La3PmTlRh
Method: DFT, PBE
State: relaxed

Calculated values
The space-group type is C2/m, No. 12. Its formation enthalpy at 0 K is -2.38 eV per formula unit.

POSCAR file:
```
La3PmTlRh
1.0
-6.992 -1.599 -5.805
-8.585 -3.067 1.426
0.252 6.021 1.278
La Pm Tl Rh
6 2 2 2
Direct
0.186 0.186 0.683 La
0.133 0.627 0.882 La
0.627 0.133 0.882 La
0.373 0.867 0.118 La
0.867 0.373 0.118 La
0.814 0.814 0.317 La
0.296 0.704 0.500 Pm
0.704 0.296 0.500 Pm
0.694 0.694 0.694 Tl
0.306 0.306 0.306 Tl
0.000 0.000 0.765 Rh
0.000 0.000 0.235 Rh
```

***

Material: LiV2Pd7
Method: DFT, PBE
State: relaxed

Calculated values
The space-group type is Cmmm, No. 65. Its formation enthalpy at 0 K is 2.76 eV per formula unit.

POSCAR file:
```
LiV2Pd7
1.0
-2.243 3.460 0.686
-4.312 -3.683 4.476
5.902 3.330 2.504
Li V Pd
1 2 7
Direct
0.000 0.000 0.000 Li
0.500 0.697 0.303 V
0.500 0.303 0.697 V
0.000 0.793 0.207 Pd
0.000 0.207 0.793 Pd
0.500 0.076 0.305 Pd
0.500 0.924 0.695 Pd
0.500 0.305 0.076 Pd
0.500 0.695 0.924 Pd
0.500 0.500 0.500 Pd
```

***

Material: ScNb2HgMo
Method: DFT, PBE
State: relaxed

Calculated values
The space-group type is P4/mmm, No. 123. Its formation enthalpy at 0 K is 9.22 eV per formula unit.

POSCAR file:
```
ScNb2HgMo
1.0
5.041 0.000 0.000
0.000 5.011 0.000
0.000 0.000 5.041
Sc Mo Hg Nb
1 1 1 2
Direct
0.500 0.500 0.500 Sc
0.000 0.500 0.000 Mo
0.000 0.000 0.000 Hg
0.000 0.000 0.500 Nb
0.500 0.000 0.000 Nb
```

***

Material: TiHgRh3
Method: DFT, PBE
State: relaxed

Calculated values
The space-group type is Pm-3m, No. 221. Its formation enthalpy at 0 K is 7.82 eV per formula unit.

POSCAR file:
```
TiHgRh3
1.0
-3.479 -1.819 -2.837
3.267 -2.822 -2.197
-0.828 -3.491 3.254
Rh Hg Ti
3 1 1
Direct
0.000 0.500 0.000 Rh
0.000 0.000 0.500 Rh
0.500 0.000 0.000 Rh
0.000 0.000 0.000 Hg
0.500 0.500 0.500 Ti
```

***

Material: TbDy2SnN4
Method: DFT, PBE
State: relaxed

Calculated values
The space-group type is P2/m, No. 10. For the formation energy without anion corrections, the calculation gives -1.069 eV per atom.

POSCAR file:
```
TbDy2SnN4
1.0
-0.413 3.001 -1.710
-5.642 0.389 2.046
3.746 2.716 3.861
Tb Dy Sn N
1 2 1 4
Direct
0.500 0.500 0.000 Tb
0.500 0.000 0.500 Dy
0.000 0.500 0.500 Dy
0.000 0.000 0.000 Sn
0.500 0.256 0.258 N
0.500 0.744 0.742 N
0.000 0.254 0.744 N
0.000 0.746 0.256 N
```

***

Material: LiCdCl2
Method: DFT, PBE
State: relaxed

Calculated values
The space-group type is I-42d, No. 122. For the formation energy without anion corrections, the calculation gives -1.060 eV per atom.

POSCAR file:
```
LiCdCl2
1.0
6.216 0.000 0.000
0.000 6.216 0.000
3.108 3.108 5.647
Cl Li Cd
4 2 2
Direct
0.564 0.125 0.250 Cl
0.186 0.625 0.250 Cl
0.375 0.436 0.750 Cl
0.875 0.814 0.750 Cl
0.500 0.500 0.000 Li
0.250 0.750 0.500 Li
0.000 0.000 0.000 Cd
0.750 0.250 0.500 Cd
```

***

Material: BeIn2Br
Method: DFT, PBE
State: relaxed

Calculated values
The space-group type is Fm-3m, No. 225. For the formation energy without anion corrections, the calculation gives 0.446 eV per atom.

POSCAR file:
```
BeIn2Br
1.0
-1.273 -3.391 3.790
-4.963 -1.604 0.523
-1.304 -4.928 -1.222
Be Br In
1 1 2
Direct
0.000 0.000 0.000 Be
0.500 0.500 0.500 Br
0.250 0.250 0.250 In
0.750 0.750 0.750 In
```

***

Material: TiRu2Cl
Method: DFT, PBE
State: relaxed

Calculated values
The space-group type is I-42d, No. 122. For the formation energy without anion corrections, the calculation gives 0.672 eV per atom.

POSCAR file:
```
TiRu2Cl
1.0
5.252 0.000 0.000
0.000 5.252 0.000
2.626 2.626 5.741
Ru Cl Ti
4 2 2
Direct
0.608 0.125 0.250 Ru
0.142 0.625 0.250 Ru
0.375 0.392 0.750 Ru
0.875 0.858 0.750 Ru
0.500 0.500 0.000 Cl
0.250 0.750 0.500 Cl
0.000 0.000 0.000 Ti
0.750 0.250 0.500 Ti
```